## Li2UTe4Pb (PBE)

Data for crystalline Li2UTe4Pb at its relaxed geometry.

a = 4.4174 Å, b = 7.8055 Å, c = 7.4404 Å
α = 110.03°, β = 90.00°, γ = 90.00°
With the nearest neighbours (Å) after each atom.
Fractional coordinates of all 8 atoms:
Li: 0.5000 0.0000 0.5000  6 Te 3.12-3.21
Li: 0.0000 0.5000 0.5000  6 Te 3.00-3.02
U: 0.5000 0.5000 0.0000  6 Te 3.04-3.10
Te: 0.5000 0.2744 0.2617  3 Li 3.00-3.21, 1 U 3.04, 2 Pb 3.23
Te: 0.5000 0.7256 0.7383  3 Li 3.00-3.21, 1 U 3.04, 2 Pb 3.23
Te: 0.0000 0.2585 0.7423  3 Li 3.02-3.12, 2 U 3.10, 1 Pb 3.22
Te: 0.0000 0.7415 0.2576  3 Li 3.02-3.12, 2 U 3.10, 1 Pb 3.22
Pb: 0.0000 0.0000 0.0000  6 Te 3.22-3.23

Output
Total magnetic moment ... 2.0 μB per formula unit
Calculated volume ... 30.128 A^3/atom
Space-group type ... P2/m
Crystal system ... monoclinic
Total energy ... -4.617 eV per atom